Entry 1:
VASP calculation (PBE-GGA) on a relaxed K2Zn2CdAg5 crystal.

a b c (Å): 3.1405 11.9006 11.9006
angles (deg): 90.00 90.00 90.00
Element x y z (fractional)
1 Cd 0.0000 0.5000 0.5000
2 Cd 0.0000 0.0000 0.0000
3 K 0.0000 0.8239 0.6761
4 K 0.0000 0.1761 0.3239
5 K 0.0000 0.3239 0.8239
6 K 0.0000 0.6761 0.1761
7 Ag 0.5000 0.9397 0.1972
8 Ag 0.5000 0.4397 0.3028
9 Ag 0.5000 0.0603 0.8028
10 Ag 0.5000 0.1972 0.0603
11 Ag 0.5000 0.5603 0.6972
12 Ag 0.5000 0.0000 0.5000
13 Ag 0.5000 0.6972 0.4397
14 Ag 0.5000 0.8028 0.9397
15 Ag 0.5000 0.5000 0.0000
16 Ag 0.5000 0.3028 0.5603
17 Zn 0.0000 0.6292 0.8708
18 Zn 0.0000 0.8708 0.3708
19 Zn 0.0000 0.3708 0.1292
20 Zn 0.0000 0.1292 0.6292

V: 444.77 Å³ per cell
energy of formation from the pure elements: 0.3 eV/f.u.
symmetry: P4/mbm (127)
density: 6427 kg/m³
DFT total energy: -39.32 eV/cell
total moment: 0.00 μB/cell

---

Entry 2:
VASP calculation (PBE-GGA) on a relaxed KZn2CdAg crystal.

a b c (Å): 5.0892 5.0892 5.4043
angles (deg): 90.00 90.00 90.00
Element x y z (fractional)
1 Zn 0.0000 0.5000 0.0000
2 Zn 0.5000 0.0000 0.0000
3 K 0.5000 0.5000 0.5000
4 Ag 0.0000 0.0000 0.0000
5 Cd 0.0000 0.0000 0.5000

V: 139.97 Å³ per cell
energy of formation from the pure elements: 0.6 eV/f.u.
symmetry: P4/mmm (123)
density: 4629 kg/m³
DFT total energy: -6.84 eV/cell
total moment: 0.00 μB/cell

---

Entry 3:
VASP calculation (PBE-GGA) on a relaxed K2ZnCd6Ag crystal.

a b c (Å): 7.3611 7.6285 7.3828
angles (deg): 60.81 60.12 89.99
Element x y z (fractional)
1 Cd 0.3430 0.8508 0.9062
2 Cd 0.7519 0.8525 0.4922
3 Cd 0.6570 0.1492 0.0938
4 Cd 0.7552 0.8501 0.9024
5 Cd 0.2448 0.1499 0.0976
6 Cd 0.2481 0.1475 0.5078
7 Zn 0.0000 0.0000 0.0000
8 K 0.2017 0.6057 0.5957
9 K 0.7983 0.3943 0.4043
10 Ag 0.5000 0.5000 0.0000

V: 297.25 Å³ per cell
energy of formation from the pure elements: -0.3 eV/f.u.
symmetry: P-1 (2)
density: 5173 kg/m³
DFT total energy: -12.07 eV/cell
total moment: 0.00 μB/cell

---

Entry 4:
VASP calculation (PBE-GGA) on a relaxed KZnCd6Ag crystal.

a b c (Å): 5.7887 11.5999 10.0114
angles (deg): 125.40 106.80 90.00
Element x y z (fractional)
1 Cd 0.9046 0.6803 0.3048
2 Cd 0.4001 0.6803 0.3048
3 Cd 0.0954 0.8755 0.6952
4 Cd 0.0831 0.8331 0.1663
5 Cd 0.5999 0.3197 0.6952
6 Cd 0.4551 0.2051 0.9101
7 Cd 0.5449 0.7949 0.0899
8 Cd 0.9046 0.1245 0.3048
9 Cd 0.0954 0.3197 0.6952
10 Cd 0.5999 0.8755 0.6952
11 Cd 0.4001 0.1245 0.3048
12 Cd 0.9169 0.1669 0.8337
13 K 0.8591 0.6091 0.7182
14 K 0.1409 0.3909 0.2818
15 Zn 0.5000 0.0000 0.0000
16 Zn 0.5000 0.5000 0.0000
17 Ag 0.5000 0.0000 0.5000
18 Ag 0.0000 0.0000 0.5000

V: 512.32 Å³ per cell
energy of formation from the pure elements: 0.8 eV/f.u.
symmetry: Imma (74)
density: 5749 kg/m³
DFT total energy: -19.86 eV/cell
total moment: 0.00 μB/cell

---

Entry 5:
VASP calculation (PBE-GGA) on a relaxed KZnCd3Ag crystal.

a b c (Å): 6.3962 7.4016 7.7870
angles (deg): 118.38 90.00 90.00
Element x y z (fractional)
1 K 0.2500 0.7239 0.4478
2 K 0.7500 0.2761 0.5522
3 Cd 0.5000 0.3029 0.0000
4 Cd 0.0000 0.6971 0.0000
5 Cd 0.7500 0.8380 0.6759
6 Cd 0.5000 0.6971 0.0000
7 Cd 0.2500 0.1620 0.3241
8 Cd 0.0000 0.3029 0.0000
9 Ag 0.7500 0.0415 0.0830
10 Ag 0.2500 0.9585 0.9170
11 Zn 0.2500 0.3623 0.7247
12 Zn 0.7500 0.6377 0.2753

V: 324.36 Å³ per cell
energy of formation from the pure elements: 0.3 eV/f.u.
symmetry: Cmcm (63)
density: 5627 kg/m³
DFT total energy: -15.33 eV/cell
total moment: 0.00 μB/cell

---

Entry 6:
VASP calculation (PBE-GGA) on a relaxed K2ZnCd12Ag3 crystal.

a b c (Å): 8.9764 8.9764 8.9764
angles (deg): 64.78 64.78 64.78
Element x y z (fractional)
1 Cd 0.8737 0.3495 0.8737
2 Cd 0.0019 0.3456 0.3456
3 Cd 0.6544 0.9981 0.6544
4 Cd 0.6544 0.6544 0.9981
5 Cd 0.3456 0.3456 0.0019
6 Cd 0.6505 0.1263 0.1263
7 Cd 0.3495 0.8737 0.8737
8 Cd 0.9981 0.6544 0.6544
9 Cd 0.8737 0.8737 0.3495
10 Cd 0.1263 0.1263 0.6505
11 Cd 0.3456 0.0019 0.3456
12 Cd 0.1263 0.6505 0.1263
13 K 0.4052 0.4052 0.4052
14 K 0.5948 0.5948 0.5948
15 Ag 0.0000 0.0000 0.5000
16 Ag 0.5000 0.0000 0.0000
17 Ag 0.0000 0.5000 0.0000
18 Zn 0.0000 0.0000 0.0000

V: 564.88 Å³ per cell
energy of formation from the pure elements: 2.7 eV/f.u.
symmetry: R-3m (166)
density: 5339 kg/m³
DFT total energy: -20.30 eV/cell
total moment: 0.00 μB/cell

---

Entry 7:
VASP calculation (PBE-GGA) on a relaxed K2ZnCd3Ag4 crystal.

a b c (Å): 4.9408 4.9408 10.8790
angles (deg): 90.00 90.00 90.00
Element x y z (fractional)
1 Cd 0.0000 0.5000 0.1298
2 Cd 0.5000 0.0000 0.8702
3 Cd 0.0000 0.0000 0.5000
4 Zn 0.5000 0.5000 0.5000
5 Ag 0.0000 0.0000 0.0000
6 Ag 0.5000 0.5000 0.0000
7 Ag 0.5000 0.0000 0.6137
8 Ag 0.0000 0.5000 0.3863
9 K 0.0000 0.5000 0.7505
10 K 0.5000 0.0000 0.2495

V: 265.57 Å³ per cell
energy of formation from the pure elements: 0.1 eV/f.u.
symmetry: P-4m2 (115)
density: 5704 kg/m³
DFT total energy: -17.55 eV/cell
total moment: 0.00 μB/cell

---

Entry 8:
VASP calculation (PBE-GGA) on a relaxed La4CdAg5 crystal.

a b c (Å): 3.7227 3.7227 18.9832
angles (deg): 90.00 90.00 90.00
Element x y z (fractional)
1 La 0.0000 0.0000 0.8148
2 La 0.0000 0.0000 0.3954
3 La 0.0000 0.0000 0.6046
4 La 0.0000 0.0000 0.1852
5 Cd 0.0000 0.0000 0.0000
6 Ag 0.5000 0.5000 0.2913
7 Ag 0.5000 0.5000 0.9200
8 Ag 0.5000 0.5000 0.0800
9 Ag 0.5000 0.5000 0.5000
10 Ag 0.5000 0.5000 0.7087

V: 263.07 Å³ per cell
energy of formation from the pure elements: -2.1 eV/f.u.
symmetry: P4/mmm (123)
density: 7621 kg/m³
DFT total energy: -36.99 eV/cell
total moment: 0.12 μB/cell

---

Repeat the third record exactly.
VASP calculation (PBE-GGA) on a relaxed K2ZnCd6Ag crystal.

a b c (Å): 7.3611 7.6285 7.3828
angles (deg): 60.81 60.12 89.99
Element x y z (fractional)
1 Cd 0.3430 0.8508 0.9062
2 Cd 0.7519 0.8525 0.4922
3 Cd 0.6570 0.1492 0.0938
4 Cd 0.7552 0.8501 0.9024
5 Cd 0.2448 0.1499 0.0976
6 Cd 0.2481 0.1475 0.5078
7 Zn 0.0000 0.0000 0.0000
8 K 0.2017 0.6057 0.5957
9 K 0.7983 0.3943 0.4043
10 Ag 0.5000 0.5000 0.0000

V: 297.25 Å³ per cell
energy of formation from the pure elements: -0.3 eV/f.u.
symmetry: P-1 (2)
density: 5173 kg/m³
DFT total energy: -12.07 eV/cell
total moment: 0.00 μB/cell

---

> Among the records above, which one has the highest DFT total energy?

KZn2CdAg

---

> Which formula does entry 6 have?

K2ZnCd12Ag3

---

> The highest V belongs to which entry?

K2ZnCd12Ag3